A plane-wave DFT calculation with PBEsol was carried out for a geometry-optimized Mg2PtAu structure.

extended XYZ file:
```
4
Lattice="2.9962 0.0000 0.0000 1.4981 2.5948 0.0000 1.4981 0.8649 8.6562" Properties=species:S:1:pos:R:3 pbc="T T T"
Mg 1.4981 0.8649 2.2480
Mg 4.4944 2.5948 6.4082
Au 0.0000 0.0000 0.0000
Pt 2.9962 1.7299 4.3281
```

As for the formation energy: -429 meV/atom. Its total energy is -4.009 eV per atom. The spin magnetization comes out at 0.000 μB/atom. Its crystal system is trigonal. Its space group is R-3m (166). For the calculated volume, the calculation gives 16.82 Å³ per atom.